Version i
Here is Li4MgPt after structural relaxation from Alexandria via LeMat-Bulk. Energies are from PBE-GGA.

Total moment = 0.000 μB/atom

Unit cell a=7.5971 b=7.5971 c=7.5971 alpha=97.04 beta=97.04 gamma=139.01
With the nearest neighbours (Å) after each atom.
Fractional coordinates of all 12 atoms:
Li (0.2137, 0.4686, 0.7452)  1 Pt 2.47, 1 Li 2.51
Li (0.2186, 0.4637, 0.2452)  1 Pt 2.47, 1 Li 2.51
Li (0.2186, 0.9734, 0.7548)  1 Pt 2.47, 1 Li 2.51
Li (0.2276, 0.0000, 0.2276)  1 Li 2.51, 1 Pt 2.52, 1 Mg 2.76
Li (0.7234, 0.4686, 0.2548)  1 Pt 2.47, 1 Li 2.51
Li (0.7500, 0.0224, 0.2724)  1 Li 2.51, 1 Pt 2.52, 1 Mg 2.76
Li (0.7500, 0.4776, 0.7276)  1 Li 2.51, 1 Pt 2.52, 1 Mg 2.76
Li (0.7724, 0.0000, 0.7724)  1 Li 2.51, 1 Pt 2.52, 1 Mg 2.76
Mg (0.4430, 0.9430, 0.5000)  2 Pt 2.63-2.69, 6 Li 2.76-2.83
Mg (0.6930, 0.6930, 0.0000)  2 Pt 2.63-2.69, 6 Li 2.76-2.83
Pt (0.1993, 0.1993, 0.0000)  4 Li 2.47-2.52, 2 Mg 2.63-2.69
Pt (0.9493, 0.4493, 0.5000)  4 Li 2.47-2.52, 2 Mg 2.63-2.69

Version ii
Here is Li4MgPt after structural relaxation from Alexandria via LeMat-Bulk. Energies are from PBE-GGA.

Total moment = 0.000 μB/atom

Unit cell a=4.9984 b=4.9984 c=4.9984 alpha=60.00 beta=60.00 gamma=60.00
With the nearest neighbours (Å) after each atom.
Fractional coordinates of all 6 atoms:
Li (0.3773, 0.3773, 0.3773)  6 Li 2.45-2.54
Li (0.3773, 0.3773, 0.8682)  6 Li 2.45-2.54
Li (0.3773, 0.8682, 0.3773)  6 Li 2.45-2.54
Li (0.8682, 0.3773, 0.3773)  6 Li 2.45-2.54
Mg (0.0000, 0.0000, 0.0000)  12 Li 2.94, 4 Pt 3.06
Pt (0.7500, 0.7500, 0.7500)  12 Li 2.93, 4 Mg 3.06

What should be chosen as the most stable of them? Choose version ii.

Version i
Here is LiMg3Pt2 after structural relaxation from Alexandria via LeMat-Bulk. Energies are from PBE-GGA.

Total moment = 0.000 μB/atom

Unit cell a=7.1718 b=7.1718 c=3.2706 alpha=90.00 beta=90.00 gamma=143.70
With the nearest neighbours (Å) after each atom.
Fractional coordinates of all 6 atoms:
Li (0.0000, 0.0000, 0.0000)  8 Mg 2.77-2.92
Mg (0.1776, 0.8224, 0.5000)  6 Pt 2.77-2.78, 2 Li 2.92, 2 Mg 2.98
Mg (0.5000, 0.5000, 0.5000)  4 Pt 2.71, 4 Li 2.77
Mg (0.8224, 0.1776, 0.5000)  6 Pt 2.77-2.78, 2 Li 2.92, 2 Mg 2.98
Pt (0.3419, 0.6581, 0.0000)  8 Mg 2.71-2.78
Pt (0.6581, 0.3419, 0.0000)  8 Mg 2.71-2.78

Version ii
Here is LiMg3Pt2 after structural relaxation from Alexandria via LeMat-Bulk. Energies are from PBE-GGA.

Total moment = 0.000 μB/atom

Unit cell a=7.6447 b=7.6447 c=7.6447 alpha=132.89 beta=71.40 gamma=129.67
With the nearest neighbours (Å) after each atom.
Fractional coordinates of all 12 atoms:
Li (0.0000, 0.0000, 0.0000)  2 Pt 2.52
Li (0.5000, 0.5000, 0.0000)  2 Pt 2.52
Mg (0.0284, 0.2500, 0.7784)  4 Pt 2.65-2.67
Mg (0.2500, 0.7500, 0.5000)  4 Pt 2.67
Mg (0.4716, 0.2500, 0.2216)  4 Pt 2.65-2.67
Mg (0.5284, 0.7500, 0.7784)  4 Pt 2.65-2.67
Mg (0.7500, 0.2500, 0.5000)  4 Pt 2.67
Mg (0.9716, 0.7500, 0.2216)  4 Pt 2.65-2.67
Pt (0.1395, 0.7014, 0.8408)  1 Li 2.52, 6 Mg 2.65-2.67
Pt (0.3605, 0.2014, 0.5619)  1 Li 2.52, 6 Mg 2.65-2.67
Pt (0.6395, 0.7986, 0.4381)  1 Li 2.52, 6 Mg 2.65-2.67
Pt (0.8605, 0.2986, 0.1592)  1 Li 2.52, 6 Mg 2.65-2.67

What should be chosen as the most stable of them? Choose version i.

Version i
Here is LiPuMg2 after structural relaxation from Alexandria via LeMat-Bulk. Energies are from PBE-GGA.

Total moment = 1.544 μB/atom

Unit cell a=5.6597 b=5.6597 c=3.0729 alpha=90.00 beta=90.00 gamma=90.00
With the nearest neighbours (Å) after each atom.
Fractional coordinates of all 4 atoms:
Li (0.0000, 0.0000, 0.0000)  2 Li 3.07, 8 Mg 3.22
Pu (0.5000, 0.5000, 0.0000)  2 Pu 3.07, 8 Mg 3.22
Mg (0.0000, 0.5000, 0.5000)  2 Mg 3.07, 4 Li 3.22, 4 Pu 3.22
Mg (0.5000, 0.0000, 0.5000)  2 Mg 3.07, 4 Li 3.22, 4 Pu 3.22

Version ii
Here is LiPuMg2 after structural relaxation from Alexandria via LeMat-Bulk. Energies are from PBE-GGA.

Total moment = 1.475 μB/atom

Unit cell a=11.6386 b=11.6386 c=11.6386 alpha=15.35 beta=15.35 gamma=15.35
With the nearest neighbours (Å) after each atom.
Fractional coordinates of all 4 atoms:
Li (0.0000, 0.0000, 0.0000)  6 Mg 3.09, 6 Li 3.11
Pu (0.5000, 0.5000, 0.5000)  6 Pu 3.11, 2 Mg 3.23
Mg (0.4063, 0.4063, 0.4063)  3 Li 3.09, 6 Mg 3.11, 1 Pu 3.23
Mg (0.5937, 0.5937, 0.5937)  3 Li 3.09, 6 Mg 3.11, 1 Pu 3.23

What should be chosen as the most stable of them? Choose version i.

Version i
Here is LiPuMg2 after structural relaxation from Alexandria via LeMat-Bulk. Energies are from PBE-GGA.

Total moment = 1.435 μB/atom

Unit cell a=3.1565 b=3.1565 c=10.9284 alpha=98.35 beta=98.35 gamma=59.98
With the nearest neighbours (Å) after each atom.
Fractional coordinates of all 4 atoms:
Li (0.0000, 0.0000, 0.0000)  6 Mg 3.10-3.12, 6 Li 3.16
Pu (0.1679, 0.1679, 0.5011)  6 Pu 3.16, 6 Mg 3.39-3.41
Mg (0.4103, 0.4103, 0.2342)  3 Li 3.11-3.12, 6 Mg 3.16, 3 Pu 3.40-3.41
Mg (0.5895, 0.5895, 0.7671)  3 Li 3.10, 6 Mg 3.16, 3 Pu 3.39-3.40

Version ii
Here is LiPuMg2 after structural relaxation from Alexandria via LeMat-Bulk. Energies are from PBE-GGA.

Total moment = 1.502 μB/atom

Unit cell a=3.0971 b=3.0971 c=9.4758 alpha=90.00 beta=90.00 gamma=90.00
With the nearest neighbours (Å) after each atom.
Fractional coordinates of all 4 atoms:
Li (0.0000, 0.0000, 0.0000)  8 Mg 3.06, 4 Li 3.10
Pu (0.0000, 0.0000, 0.5000)  4 Pu 3.10, 8 Mg 3.40
Mg (0.5000, 0.5000, 0.2257)  4 Li 3.06, 4 Mg 3.10, 4 Pu 3.40
Mg (0.5000, 0.5000, 0.7743)  4 Li 3.06, 4 Mg 3.10, 4 Pu 3.40

What should be chosen as the most stable of them? Choose version ii.

Version i
Here is RbLiMg3 after structural relaxation from Alexandria via LeMat-Bulk. Energies are from PBE-GGA.

Total moment = 0.000 μB/atom

Unit cell a=6.6033 b=6.6033 c=6.6033 alpha=90.00 beta=90.00 gamma=90.00
With the nearest neighbours (Å) after each atom.
Fractional coordinates of all 5 atoms:
Rb (0.0000, 0.0000, 0.0000)  6 Mg 3.30
Li (0.5000, 0.5000, 0.5000)  12 Mg 4.67
Mg (0.0000, 0.0000, 0.5000)  2 Rb 3.30
Mg (0.0000, 0.5000, 0.0000)  2 Rb 3.30
Mg (0.5000, 0.0000, 0.0000)  2 Rb 3.30

Version ii
Here is RbLiMg3 after structural relaxation from Alexandria via LeMat-Bulk. Energies are from PBE-GGA.

Total moment = 0.000 μB/atom

Unit cell a=5.4422 b=5.4422 c=5.4422 alpha=90.00 beta=90.00 gamma=90.00
With the nearest neighbours (Å) after each atom.
Fractional coordinates of all 5 atoms:
Rb (0.0000, 0.0000, 0.0000)  12 Mg 3.85
Li (0.5000, 0.5000, 0.5000)  6 Mg 2.72
Mg (0.0000, 0.5000, 0.5000)  2 Li 2.72
Mg (0.5000, 0.0000, 0.5000)  2 Li 2.72
Mg (0.5000, 0.5000, 0.0000)  2 Li 2.72

What should be chosen as the most stable of them? Choose version ii.

Version i
Here is Rb2Li2Mg after structural relaxation from Alexandria via LeMat-Bulk. Energies are from PBE-GGA.

Total moment = 0.000 μB/atom

Unit cell a=12.8813 b=12.8813 c=12.8813 alpha=161.30 beta=161.30 gamma=26.56
With the nearest neighbours (Å) after each atom.
Fractional coordinates of all 5 atoms:
Rb (0.1117, 0.1117, 0.0000)  4 Li 4.05, 4 Mg 4.07, 4 Rb 4.18
Rb (0.8883, 0.8883, 0.0000)  4 Li 4.05, 4 Mg 4.07, 4 Rb 4.18
Li (0.2500, 0.7500, 0.5000)  4 Li 2.96
Li (0.7500, 0.2500, 0.5000)  4 Li 2.96
Mg (0.5000, 0.5000, 0.0000)  8 Rb 4.07, 4 Mg 4.18

Version ii
Here is Rb2Li2Mg after structural relaxation from Alexandria via LeMat-Bulk. Energies are from PBE-GGA.

Total moment = 0.000 μB/atom

Unit cell a=11.1890 b=11.1890 c=3.6939 alpha=90.00 beta=90.00 gamma=90.00
With the nearest neighbours (Å) after each atom.
Fractional coordinates of all 10 atoms:
Rb (0.1968, 0.3032, 0.0000)  2 Rb 3.69, 6 Li 3.81-3.91, 2 Mg 4.04
Rb (0.3032, 0.8032, 0.0000)  2 Rb 3.69, 6 Li 3.81-3.91, 2 Mg 4.04
Rb (0.6968, 0.1968, 0.0000)  2 Rb 3.69, 6 Li 3.81-3.91, 2 Mg 4.04
Rb (0.8032, 0.6968, 0.0000)  2 Rb 3.69, 6 Li 3.81-3.91, 2 Mg 4.04
Li (0.0927, 0.5927, 0.5000)  1 Li 2.93
Li (0.4073, 0.0927, 0.5000)  1 Li 2.93
Li (0.5927, 0.9073, 0.5000)  1 Li 2.93
Li (0.9073, 0.4073, 0.5000)  1 Li 2.93
Mg (0.0000, 0.0000, 0.0000)  2 Mg 3.69, 4 Rb 4.04
Mg (0.5000, 0.5000, 0.0000)  2 Mg 3.69, 4 Rb 4.04

Version iii
Here is Rb2Li2Mg after structural relaxation from Alexandria via LeMat-Bulk. Energies are from PBE-GGA.

Total moment = 0.000 μB/atom

Unit cell a=8.2196 b=8.2196 c=6.3518 alpha=90.00 beta=90.00 gamma=90.00
With the nearest neighbours (Å) after each atom.
Fractional coordinates of all 10 atoms:
Rb (0.1872, 0.3128, 0.0000)  6 Li 3.77-4.17
Rb (0.3128, 0.8128, 0.0000)  6 Li 3.77-4.17
Rb (0.6872, 0.1872, 0.0000)  6 Li 3.77-4.17
Rb (0.8128, 0.6872, 0.0000)  6 Li 3.77-4.17
Li (0.1388, 0.6388, 0.5000)  2 Mg 3.18, 1 Li 3.23
Li (0.3612, 0.1388, 0.5000)  2 Mg 3.18, 1 Li 3.23
Li (0.6388, 0.8612, 0.5000)  2 Mg 3.18, 1 Li 3.23
Li (0.8612, 0.3612, 0.5000)  2 Mg 3.18, 1 Li 3.23
Mg (0.0000, 0.0000, 0.5000)  4 Li 3.18
Mg (0.5000, 0.5000, 0.5000)  4 Li 3.18

What should be chosen as the most stable of them? Choose version iii.